(1)
Density functional theory data (PBE) for crystalline ThScIn2 at its relaxed geometry.

Properties
- VASP energy: -60.361 eV for the cell shown

a b c (Å): 3.4489 3.4489 30.9852
angles (deg): 90.00 90.00 120.00
Closest atoms and distances in Å follow each position.
Space group R-3m (No. 166, hexagonal axes)
One atom of each set of equivalent atoms:
1 Th 0.0000 0.0000 0.0000  6 In 3.43, 6 Th 3.45
2 Sc 0.0000 0.0000 0.5000  6 In 3.10, 6 Sc 3.45
3 In 0.0000 0.0000 0.2434  3 Sc 3.10, 3 Th 3.43, 6 In 3.45


(2)
Density functional theory data (PBE) for crystalline ThScIn4 at its relaxed geometry.

Properties
- VASP energy: -103.094 eV for the cell shown

a b c (Å): 8.4680 8.4680 8.4680
angles (deg): 90.00 90.00 90.00
Closest atoms and distances in Å follow each position.
Space group F-43m (No. 216)
One atom of each set of equivalent atoms:
1 Th 0.0000 0.0000 0.0000  12 In 3.51, 4 Sc 3.67
2 Sc 0.2500 0.2500 0.7500  12 In 3.51, 4 Th 3.67
3 In 0.1248 0.1248 0.3752  6 In 2.99-3.00


(3)
Density functional theory data (PBE) for crystalline Th2Sc6In at its relaxed geometry.

Properties
- Energy relative to the lowest polymorph listed for this composition: 0 meV per atom

a b c (Å): 15.8059 9.1188 3.2133
angles (deg): 90.00 90.06 90.00
Closest atoms and distances in Å follow each position.
Space group C2/m (No. 12)
One atom of each set of equivalent atoms:
1 Th 0.1665 0.0000 0.9997  2 Th 3.21, 12 Sc 3.46-3.47
2 Sc 0.0000 0.1733 0.5000  5 Sc 2.98-3.21
3 Sc 0.1633 0.3366 0.4975  5 Sc 2.98-3.21
4 In 0.0000 0.5000 0.0000  2 In 3.21, 12 Sc 3.38-3.39


(4)
Density functional theory data (PBE) for crystalline ThSc3In4 at its relaxed geometry.

Properties
- VASP energy: -80.337 eV for the cell shown

a b c (Å): 10.3801 6.9243 5.4355
angles (deg): 90.00 90.00 90.00
Closest atoms and distances in Å follow each position.
Space group Pmma (No. 51)
One atom of each set of equivalent atoms:
1 Th 0.0000 0.0000 0.0000  8 In 3.27-3.30, 4 Sc 3.40-3.46
2 Sc 0.0000 0.5000 0.0000  8 In 3.11-3.14, 2 Sc 3.28, 2 Th 3.46
3 Sc 0.2500 0.0000 0.4047  8 In 3.18-3.43, 2 Th 3.40, 2 Sc 3.47
4 Sc 0.2500 0.5000 0.3695  8 In 3.11-3.18, 4 Sc 3.28-3.47
5 In 0.0000 0.2716 0.5000  6 Sc 3.12-3.25, 3 In 3.16-3.31, 2 Th 3.30
6 In 0.2500 0.2709 0.8775  6 Sc 3.11-3.43, 3 In 3.17-3.31, 2 Th 3.27


(5)
Density functional theory data (PBE) for crystalline Th3ScIn at its relaxed geometry.

Properties
- VASP energy: -119.908 eV for the cell shown

a b c (Å): 11.3099 10.3862 5.9174
angles (deg): 90.00 109.86 90.00
Closest atoms and distances in Å follow each position.
Space group C2/m (No. 12)
One atom of each set of equivalent atoms:
1 Th 0.0000 0.0000 0.0000  2 In 3.16
2 Th 0.0000 0.2339 0.5000  2 In 3.25, 2 Th 3.29, 2 Sc 3.33
3 Th 0.0000 0.5000 0.0000  4 Th 3.27-3.62, 2 In 3.27
4 Th 0.1661 0.5000 0.6427  1 In 3.08, 3 Th 3.27-3.29, 2 Sc 3.28
5 Sc 0.2500 0.2500 0.0000  2 In 3.02, 4 Th 3.28-3.33
6 In 0.1954 0.0000 0.7246  2 Sc 3.02, 5 Th 3.08-3.27


(6)
Density functional theory data (PBE) for crystalline ThScTiIn at its relaxed geometry.

Properties
- VASP energy: -97.443 eV for the cell shown

a b c (Å): 7.3576 7.3576 7.3576
angles (deg): 90.00 90.00 90.00
Closest atoms and distances in Å follow each position.
Space group F-43m (No. 216)
One atom of each set of equivalent atoms:
1 Th 0.0000 0.0000 0.0000  4 In 3.19, 4 Ti 3.19
2 Sc 0.0000 0.0000 0.5000  4 Ti 3.19, 4 In 3.19
3 Ti 0.2500 0.2500 0.2500  4 Th 3.19, 4 Sc 3.19
4 In 0.2500 0.2500 0.7500  4 Sc 3.19, 4 Th 3.19